No. 1
## Ba2GeO4 (PBEsol)

Data for a geometry-optimized Ba2GeO4 structure.

Summary:
Fermi-level density of states in states/eV/f.u.: 0.0
Theoretical density in Mg/m³: 5.75
Raw formation energy in eV per atom: -2.49

Cell: 15.1459 6.0287 10.4063 Å, 90.00 90.00 90.00°
Atoms (fractional coordinates):
1 Ba 0.0461 0.2314 0.0000
2 Ba 0.1245 0.2204 0.6223
3 Ba 0.1260 0.7304 0.2265
4 Ba 0.2036 0.7247 0.8436
5 Ba 0.2964 0.2247 0.3436
6 Ba 0.3740 0.2304 0.7265
7 Ba 0.3755 0.7204 0.1223
8 Ba 0.4539 0.7314 0.5000
9 Ba 0.5461 0.2686 0.0000
10 Ba 0.6245 0.2796 0.6223
11 Ba 0.6260 0.7696 0.2265
12 Ba 0.7036 0.7753 0.8436
13 Ba 0.7964 0.2753 0.3436
14 Ba 0.8740 0.2696 0.7265
15 Ba 0.8755 0.7796 0.1223
16 Ba 0.9539 0.7686 0.5000
17 Ge 0.0153 0.2641 0.3432
18 Ge 0.2356 0.7351 0.5073
19 Ge 0.2644 0.2351 0.0073
20 Ge 0.4847 0.7641 0.8432
21 Ge 0.5153 0.2359 0.3432
22 Ge 0.7356 0.7649 0.5073
23 Ge 0.7644 0.2649 0.0073
24 Ge 0.9847 0.7359 0.8432
25 O 0.0102 0.9718 0.7508
26 O 0.0325 0.4948 0.7742
27 O 0.0375 0.7716 0.9952
28 O 0.1223 0.7908 0.4904
29 O 0.1297 0.3048 0.3599
30 O 0.2109 0.1779 0.8579
31 O 0.2147 0.4848 0.0621
32 O 0.2406 0.0194 0.1164
33 O 0.2594 0.5194 0.6164
34 O 0.2853 0.9848 0.5621
35 O 0.2891 0.6779 0.3579
36 O 0.3703 0.8048 0.8599
37 O 0.3777 0.2908 0.9904
38 O 0.4625 0.2716 0.4952
39 O 0.4675 0.9948 0.2742
40 O 0.4898 0.4718 0.2508
41 O 0.5102 0.5282 0.7508
42 O 0.5325 0.0052 0.7742
43 O 0.5375 0.7284 0.9952
44 O 0.6223 0.7092 0.4904
45 O 0.6297 0.1952 0.3599
46 O 0.7109 0.3221 0.8579
47 O 0.7147 0.0152 0.0621
48 O 0.7406 0.4806 0.1164
49 O 0.7594 0.9806 0.6164
50 O 0.7853 0.5152 0.5621
51 O 0.7891 0.8221 0.3579
52 O 0.8703 0.6952 0.8599
53 O 0.8777 0.2092 0.9904
54 O 0.9625 0.2284 0.4952
55 O 0.9675 0.5052 0.2742
56 O 0.9898 0.0282 0.2508


No. 2
## Ba3GeO5 (PBEsol)

Data for a geometry-optimized Ba3GeO5 structure.

Summary:
Fermi-level density of states in states/eV/f.u.: 0.0
Theoretical density in Mg/m³: 6.07
Offset from the most stable computed form in meV per atom: 3
Raw formation energy in eV per atom: -2.50

Cell: 7.7666 7.7666 7.7666 Å, 123.98 123.98 83.24°
Atoms (fractional coordinates):
1 Ba 0.1804 0.6804 0.8609
2 Ba 0.2500 0.2500 0.0000
3 Ba 0.3196 0.1804 0.5000
4 Ba 0.6804 0.8196 0.5000
5 Ba 0.7500 0.7500 0.0000
6 Ba 0.8196 0.3196 0.1391
7 Ge 0.2500 0.7500 0.5000
8 Ge 0.7500 0.2500 0.5000
9 O 0.0000 0.0000 0.0000
10 O 0.0211 0.7925 0.5000
11 O 0.2075 0.7075 0.2286
12 O 0.2925 0.5211 0.5000
13 O 0.4789 0.9789 0.7714
14 O 0.5000 0.5000 0.0000
15 O 0.5211 0.0211 0.2286
16 O 0.7075 0.4789 0.5000
17 O 0.7925 0.2925 0.7714
18 O 0.9789 0.2075 0.5000


No. 3
## Ba3GeO5 (PBEsol)

Data for a geometry-optimized Ba3GeO5 structure.

Summary:
Fermi-level density of states in states/eV/f.u.: 0.0
Theoretical density in Mg/m³: 5.38
Offset from the most stable computed form in meV per atom: 52
Raw formation energy in eV per atom: -2.45

Cell: 10.5919 10.5919 10.5919 Å, 44.12 44.12 44.12°
Atoms (fractional coordinates):
1 Ba 0.0082 0.4959 0.4959
2 Ba 0.2332 0.7170 0.7170
3 Ba 0.2836 0.2836 0.7546
4 Ba 0.2836 0.7546 0.2836
5 Ba 0.4959 0.0082 0.4959
6 Ba 0.4959 0.4959 0.0082
7 Ba 0.7170 0.2332 0.7170
8 Ba 0.7170 0.7170 0.2332
9 Ba 0.7546 0.2836 0.2836
10 Ge 0.2149 0.2149 0.2149
11 Ge 0.7789 0.7789 0.7789
12 Ge 0.9976 0.9976 0.9976
13 O 0.0015 0.6370 0.6370
14 O 0.1395 0.1395 0.7737
15 O 0.1395 0.7737 0.1395
16 O 0.1526 0.1526 0.1526
17 O 0.3575 0.3575 0.9928
18 O 0.3575 0.9928 0.3575
19 O 0.3820 0.3820 0.3820
20 O 0.4982 0.4982 0.4982
21 O 0.6216 0.6216 0.6216
22 O 0.6370 0.0015 0.6370
23 O 0.6370 0.6370 0.0015
24 O 0.7737 0.1395 0.1395
25 O 0.8405 0.8405 0.8405
26 O 0.9361 0.9361 0.9361
27 O 0.9928 0.3575 0.3575